[1]
{
  "formula": "AgW2",
  "functional": "PBE-GGA",
  "state": "relaxed",
  "lattice": [[2.2107, -5.2696, 0.0000], [2.2107, 5.2696, 0.0000], [0.0000, 0.0000, 4.2994]],
  "species": ["Ag", "Ag", "W", "W", "W", "W"],
  "fractional_positions": [[0.0776, 0.9224, 0.7500], [0.9224, 0.0776, 0.2500], [0.2523, 0.7477, 0.2500], [0.4014, 0.5986, 0.7500], [0.5986, 0.4014, 0.2500], [0.7477, 0.2523, 0.7500]],
  "total_magnetization_mub_per_atom": 0.000,
  "polymorph_energy_ev_per_atom": 0.047,
  "density_g_cm3": 15.8,
  "delta_e_f_ev_per_atom": 0.549
}

[2]
{
  "formula": "TbSm4Sn",
  "functional": "PBE-GGA",
  "state": "relaxed",
  "lattice": [[1.7764, -15.8837, 0.0000], [1.7764, 15.8837, 0.0000], [0.0000, 0.0000, 6.9047]],
  "species": ["Tb", "Tb", "Sm", "Sm", "Sm", "Sm", "Sm", "Sm", "Sm", "Sm", "Sn", "Sn"],
  "fractional_positions": [[0.0564, 0.9436, 0.5000], [0.9436, 0.0564, 0.0000], [0.0549, 0.9451, 0.0114], [0.1996, 0.8004, 0.0169], [0.2012, 0.7988, 0.4994], [0.3717, 0.6283, 0.2588], [0.6283, 0.3717, 0.7588], [0.7988, 0.2012, 0.9994], [0.8004, 0.1996, 0.5169], [0.9451, 0.0549, 0.5114], [0.3737, 0.6263, 0.7600], [0.6263, 0.3737, 0.2600]],
  "total_magnetization_mub_per_atom": 0.000,
  "density_g_cm3": 7.5,
  "delta_e_f_ev_per_atom": -0.035
}

[3]
{
  "formula": "NaAgBrF2",
  "functional": "PBE-GGA",
  "state": "relaxed",
  "lattice": [[4.3562, 0.0000, 0.0000], [0.0000, 4.3562, 0.0000], [0.0000, 0.0000, 5.3979]],
  "species": ["Na", "Ag", "Br", "F", "F"],
  "fractional_positions": [[0.0000, 0.0000, 0.0000], [0.5000, 0.5000, 0.5000], [0.5000, 0.5000, 0.0000], [0.0000, 0.5000, 0.5000], [0.5000, 0.0000, 0.5000]],
  "total_magnetization_mub_per_atom": 0.000,
  "raw_formation_energy_mev_per_atom": -1336,
  "density_g_cm3": 4.0
}

[4]
{
  "formula": "TmSiS3",
  "functional": "PBE-GGA",
  "state": "relaxed",
  "lattice": [[6.4338, 0.0000, 0.0000], [0.0000, 7.0549, 0.0000], [-5.9743, 0.0000, 9.3007]],
  "species": ["Tm", "Tm", "Tm", "Tm", "Si", "Si", "Si", "Si", "S", "S", "S", "S", "S", "S", "S", "S", "S", "S", "S", "S"],
  "fractional_positions": [[0.2031, 0.1248, 0.2525], [0.2031, 0.3752, 0.7525], [0.7969, 0.6248, 0.2475], [0.7969, 0.8752, 0.7475], [0.1489, 0.6073, 0.0663], [0.1489, 0.8927, 0.5663], [0.8511, 0.1073, 0.4337], [0.8511, 0.3927, 0.9337], [0.0713, 0.1734, 0.9222], [0.0713, 0.3266, 0.4222], [0.2760, 0.6932, 0.9328], [0.2760, 0.8068, 0.4328], [0.4198, 0.0259, 0.7614], [0.4198, 0.4741, 0.2614], [0.5802, 0.5259, 0.7386], [0.5802, 0.9741, 0.2386], [0.7240, 0.1932, 0.5672], [0.7240, 0.3068, 0.0672], [0.9287, 0.6734, 0.5778], [0.9287, 0.8266, 0.0778]],
  "total_magnetization_mub_per_atom": 0.000,
  "raw_formation_energy_mev_per_atom": -1272,
  "density_g_cm3": 4.6
}

[5]
{
  "formula": "Ho4ErTl3",
  "functional": "PBE-GGA",
  "state": "relaxed",
  "lattice": [[-1.7868, 4.4109, 7.4249], [1.7868, -4.4109, 7.4249], [1.7868, 4.4109, -7.4249]],
  "species": ["Ho", "Ho", "Ho", "Ho", "Er", "Tl", "Tl", "Tl"],
  "fractional_positions": [[0.0612, 0.8623, 0.1989], [0.3366, 0.1377, 0.1989], [0.6634, 0.8623, 0.8011], [0.9388, 0.1377, 0.8011], [0.5000, 0.0000, 0.5000], [0.0000, 0.5000, 0.5000], [0.3151, 0.3151, 0.0000], [0.6849, 0.6849, 0.0000]],
  "total_magnetization_mub_per_atom": 0.000,
  "density_g_cm3": 10.2,
  "delta_e_f_ev_per_atom": -0.124
}

[6]
{
  "formula": "Fe4SiP",
  "functional": "PBE-GGA",
  "state": "relaxed",
  "lattice": [[0.0000, 3.3099, 3.3099], [3.3099, 0.0000, 3.3099], [3.3099, 3.3099, 0.0000]],
  "species": ["Fe", "Fe", "Fe", "Fe", "Si", "P"],
  "fractional_positions": [[0.1250, 0.1250, 0.1250], [0.1250, 0.1250, 0.6249], [0.1250, 0.6249, 0.1250], [0.6249, 0.1250, 0.1250], [0.5000, 0.5000, 0.5000], [0.7500, 0.7500, 0.7500]],
  "total_magnetization_mub_per_atom": 1.164,
  "raw_formation_energy_mev_per_atom": 250,
  "density_g_cm3": 6.5
}

[7]
{
  "formula": "Ce2ThCd2In2",
  "functional": "PBE-GGA",
  "state": "relaxed",
  "lattice": [[2.4001, 1.3857, 9.3065], [-2.4001, 1.3857, 9.3065], [0.0000, -2.7714, 9.3065]],
  "species": ["Ce", "Ce", "Th", "Cd", "Cd", "In", "In"],
  "fractional_positions": [[0.1446, 0.1446, 0.1446], [0.8554, 0.8554, 0.8554], [0.0000, 0.0000, 0.0000], [0.4159, 0.4159, 0.4159], [0.5841, 0.5841, 0.5841], [0.2679, 0.2679, 0.2679], [0.7321, 0.7321, 0.7321]],
  "total_magnetization_mub_per_atom": 0.326,
  "density_g_cm3": 8.6,
  "delta_e_f_ev_per_atom": -0.145
}

[8]
{
  "formula": "ZnRh2Pb",
  "functional": "PBE-GGA",
  "state": "relaxed",
  "lattice": [[3.1004, 0.0000, 0.0000], [0.0000, 3.1004, 0.0000], [0.0000, 0.0000, 7.6416]],
  "species": ["Zn", "Rh", "Rh", "Pb"],
  "fractional_positions": [[0.0000, 0.0000, 0.0000], [0.0000, 0.0000, 0.6083], [0.5000, 0.5000, 0.8226], [0.5000, 0.5000, 0.3545]],
  "total_magnetization_mub_per_atom": 0.254,
  "density_g_cm3": 10.8,
  "delta_e_f_ev_per_atom": 0.089
}

[9]
{
  "formula": "NdHo2GeN4",
  "functional": "PBE-GGA",
  "state": "relaxed",
  "lattice": [[1.7660, -5.7206, 0.0000], [1.7660, 5.7206, 0.0000], [0.0000, 0.0000, 11.5764]],
  "species": ["Nd", "Nd", "Ho", "Ho", "Ho", "Ho", "Ge", "Ge", "N", "N", "N", "N", "N", "N", "N", "N"],
  "fractional_positions": [[0.0988, 0.9012, 0.7500], [0.9012, 0.0988, 0.2500], [0.3696, 0.6304, 0.5431], [0.3696, 0.6304, 0.9569], [0.6304, 0.3696, 0.0431], [0.6304, 0.3696, 0.4569], [0.1627, 0.8373, 0.2500], [0.8373, 0.1627, 0.7500], [0.0000, 0.0000, 0.0000], [0.0000, 0.0000, 0.5000], [0.2684, 0.7316, 0.1254], [0.2684, 0.7316, 0.3746], [0.4219, 0.5781, 0.7500], [0.5781, 0.4219, 0.2500], [0.7316, 0.2684, 0.6254], [0.7316, 0.2684, 0.8746]],
  "total_magnetization_mub_per_atom": 0.000,
  "raw_formation_energy_mev_per_atom": -1093,
  "density_g_cm3": 8.6
}

[10]
{
  "formula": "Ac3NpTl3Te8",
  "functional": "PBE-GGA",
  "state": "relaxed",
  "lattice": [[4.7384, 2.7357, 8.1867], [-4.7384, 2.7357, 8.1867], [0.0000, -5.4714, 8.1867]],
  "species": ["Ac", "Ac", "Ac", "Np", "Tl", "Tl", "Tl", "Te", "Te", "Te", "Te", "Te", "Te", "Te", "Te"],
  "fractional_positions": [[0.0000, 0.5000, 0.5000], [0.5000, 0.0000, 0.5000], [0.5000, 0.5000, 0.0000], [0.0000, 0.0000, 0.0000], [0.0000, 0.0000, 0.5000], [0.0000, 0.5000, 0.0000], [0.5000, 0.0000, 0.0000], [0.2269, 0.2269, 0.7621], [0.2269, 0.7621, 0.2269], [0.2379, 0.7731, 0.7731], [0.2566, 0.2566, 0.2566], [0.7434, 0.7434, 0.7434], [0.7621, 0.2269, 0.2269], [0.7731, 0.2379, 0.7731], [0.7731, 0.7731, 0.2379]],
  "total_magnetization_mub_per_atom": 0.200,
  "raw_formation_energy_mev_per_atom": -1016,
  "density_g_cm3": 6.7
}

[11]
{
  "formula": "Ce4SbTeSe2",
  "functional": "PBE-GGA",
  "state": "relaxed",
  "lattice": [[-4.3347, 4.3637, 6.1507], [4.3347, -4.3637, 6.1507], [4.3347, 4.3637, -6.1507]],
  "species": ["Ce", "Ce", "Ce", "Ce", "Ce", "Ce", "Ce", "Ce", "Sb", "Sb", "Te", "Te", "Se", "Se", "Se", "Se"],
  "fractional_positions": [[0.2576, 0.2452, 0.4876], [0.2576, 0.7700, 0.0124], [0.2594, 0.2438, 0.0156], [0.2718, 0.7562, 0.5156], [0.7282, 0.2438, 0.4844], [0.7406, 0.7562, 0.9844], [0.7424, 0.2300, 0.9876], [0.7424, 0.7548, 0.5124], [0.0000, 0.5000, 0.5000], [0.5000, 0.5000, 0.0000], [0.0000, 0.0000, 0.5000], [0.0000, 0.5000, 0.0000], [0.0000, 0.0000, 0.0000], [0.5000, 0.0000, 0.0000], [0.5000, 0.0000, 0.5000], [0.5000, 0.5000, 0.5000]],
  "total_magnetization_mub_per_atom": 0.501,
  "raw_formation_energy_mev_per_atom": -1506,
  "density_g_cm3": 6.9
}

[12]
{
  "formula": "CuRh",
  "functional": "PBE-GGA",
  "state": "relaxed",
  "lattice": [[4.5830, 0.0000, 0.0000], [0.0000, 4.3731, 0.0000], [0.0000, 0.0000, 5.3145]],
  "species": ["Cu", "Cu", "Cu", "Cu", "Rh", "Rh", "Rh", "Rh"],
  "fractional_positions": [[0.0813, 0.2500, 0.1273], [0.4187, 0.7500, 0.6273], [0.5813, 0.2500, 0.3727], [0.9187, 0.7500, 0.8727], [0.0818, 0.2500, 0.6277], [0.4182, 0.7500, 0.1277], [0.5818, 0.2500, 0.8723], [0.9182, 0.7500, 0.3723]],
  "total_magnetization_mub_per_atom": 0.235,
  "density_g_cm3": 10.4,
  "delta_e_f_ev_per_atom": 0.094
}

[13]
{
  "formula": "Co3AsPt",
  "functional": "PBE-GGA",
  "state": "relaxed",
  "lattice": [[4.2704, 0.0000, 0.0000], [0.0000, 4.2704, 0.0000], [0.0000, 0.0000, 4.2704]],
  "species": ["Co", "Co", "Co", "As", "Pt"],
  "fractional_positions": [[0.0000, 0.0000, 0.5000], [0.0000, 0.5000, 0.0000], [0.5000, 0.0000, 0.0000], [0.0000, 0.0000, 0.0000], [0.5000, 0.5000, 0.5000]],
  "total_magnetization_mub_per_atom": 0.861,
  "polymorph_energy_ev_per_atom": 0.000,
  "density_g_cm3": 9.5,
  "delta_e_f_ev_per_atom": 0.738
}

[14]
{
  "formula": "BeV2SiH",
  "functional": "PBE-GGA",
  "state": "relaxed",
  "lattice": [[3.6790, 0.0000, 0.0000], [0.0000, 3.6790, 0.0000], [0.0000, 0.0000, 3.6782]],
  "species": ["Be", "V", "V", "Si", "H"],
  "fractional_positions": [[0.0000, 0.0000, 0.0000], [0.0000, 0.5000, 0.5000], [0.5000, 0.0000, 0.5000], [0.5000, 0.5000, 0.0000], [0.0000, 0.0000, 0.5000]],
  "total_magnetization_mub_per_atom": 0.000,
  "total_energy_ry_per_atom": -0.4629,
  "density_g_cm3": 4.7
}

[15]
{
  "formula": "BaSi2Mo",
  "functional": "PBE-GGA",
  "state": "relaxed",
  "lattice": [[4.2050, -1.7782, 0.0000], [4.2050, 1.7782, 0.0000], [-3.2442, 0.0000, 6.3598]],
  "species": ["Ba", "Si", "Si", "Mo"],
  "fractional_positions": [[0.0000, 0.0000, 0.0000], [0.1300, 0.1300, 0.5890], [0.4447, 0.4447, 0.3577], [0.7874, 0.7874, 0.4657]],
  "total_magnetization_mub_per_atom": 0.113,
  "raw_formation_energy_mev_per_atom": -23,
  "polymorph_energy_ev_per_atom": 0.114,
  "density_g_cm3": 5.1
}

[16]
{
  "formula": "Ac3Zn8Ag3",
  "functional": "PBE-GGA",
  "state": "relaxed",
  "lattice": [[-2.3397, 4.6746, 6.9353], [2.3397, -4.6746, 6.9353], [2.3397, 4.6746, -6.9353]],
  "species": ["Ac", "Ac", "Ac", "Zn", "Zn", "Zn", "Zn", "Zn", "Zn", "Zn", "Zn", "Ag", "Ag", "Ag"],
  "fractional_positions": [[0.0000, 0.0000, 0.0000], [0.3005, 0.3005, 0.0000], [0.6995, 0.6995, 0.0000], [0.0252, 0.6662, 0.3589], [0.1447, 0.8643, 0.2804], [0.3073, 0.6662, 0.6411], [0.4160, 0.1357, 0.2804], [0.5840, 0.8643, 0.7196], [0.6927, 0.3338, 0.3589], [0.8553, 0.1357, 0.7196], [0.9748, 0.3338, 0.6411], [0.2906, 0.5000, 0.7906], [0.5000, 0.0000, 0.5000], [0.7094, 0.5000, 0.2094]],
  "total_magnetization_mub_per_atom": 0.000,
  "density_g_cm3": 8.4,
  "delta_e_f_ev_per_atom": -0.272
}

[17]
{
  "formula": "Al2CrSbW",
  "functional": "PBE-GGA",
  "state": "relaxed",
  "lattice": [[4.9258, 0.0000, 0.0000], [0.0000, 4.9258, 0.0000], [0.0000, 0.0000, 5.1234]],
  "species": ["Al", "Al", "Cr", "Sb", "W"],
  "fractional_positions": [[0.0000, 0.5000, 0.0000], [0.5000, 0.0000, 0.0000], [0.0000, 0.0000, 0.5000], [0.5000, 0.5000, 0.5000], [0.5000, 0.5000, 0.0000]],
  "total_magnetization_mub_per_atom": 0.992,
  "raw_formation_energy_mev_per_atom": 875,
  "density_g_cm3": 5.5
}

[18]
{
  "formula": "MgFeSb2",
  "functional": "PBE-GGA",
  "state": "relaxed",
  "lattice": [[3.1556, 0.0000, 0.0000], [0.0000, 3.1556, 0.0000], [0.0000, 0.0000, 8.3012]],
  "species": ["Mg", "Fe", "Sb", "Sb"],
  "fractional_positions": [[0.0000, 0.0000, 0.0000], [0.5000, 0.5000, 0.8048], [0.0000, 0.0000, 0.6369], [0.5000, 0.5000, 0.2683]],
  "total_magnetization_mub_per_atom": 0.000,
  "raw_formation_energy_mev_per_atom": 111,
  "polymorph_energy_ev_per_atom": 0.070,
  "density_g_cm3": 6.5
}

[19]
{
  "formula": "LiSi2Pt",
  "functional": "PBE-GGA",
  "state": "relaxed",
  "lattice": [[3.7597, 0.0000, 0.0000], [0.0000, 3.7597, 0.0000], [0.0000, 0.0000, 3.8531]],
  "species": ["Li", "Si", "Si", "Pt"],
  "fractional_positions": [[0.0000, 0.0000, 0.0000], [0.0000, 0.5000, 0.5000], [0.5000, 0.0000, 0.5000], [0.5000, 0.5000, 0.0000]],
  "total_magnetization_mub_per_atom": 0.000,
  "raw_formation_energy_mev_per_atom": -302,
  "polymorph_energy_ev_per_atom": 0.185,
  "density_g_cm3": 7.9
}

[20]
{
  "formula": "BTeAu3",
  "functional": "PBE-GGA",
  "state": "relaxed",
  "lattice": [[4.5363, 0.0000, 0.0000], [0.0000, 4.5363, 0.0000], [0.0000, 0.0000, 4.5363]],
  "species": ["B", "Te", "Au", "Au", "Au"],
  "fractional_positions": [[0.0000, 0.0000, 0.0000], [0.5000, 0.5000, 0.5000], [0.0000, 0.0000, 0.5000], [0.0000, 0.5000, 0.0000], [0.5000, 0.0000, 0.0000]],
  "total_magnetization_mub_per_atom": 0.000,
  "raw_formation_energy_mev_per_atom": 496,
  "polymorph_energy_ev_per_atom": 0.000,
  "density_g_cm3": 13.0
}